No. 1
A relaxed UCuTe3 crystal. Source: the Alexandria database, functional PBE.

Summary:
energy relative to the elements, uncorrected = -0.3505 eV per atom
density of states at the Fermi level = 13.22 states/eV per cell
total magnetic moment = 1.66 μB/f.u.

a = 7.4402 Å, b = 4.1207 Å, c = 8.7470 Å
α = 90.00°, β = 93.08°, γ = 90.00°
With the nearest neighbours (Å) after each atom.
Element x y z (fractional)
U (0.1238, 0.2500, 0.2822)  8 Te 3.09-3.37
U (0.8762, 0.7500, 0.7178)  8 Te 3.09-3.37
Cu (0.3594, 0.7500, 0.8260)  6 Te 2.68-2.90
Cu (0.6406, 0.2500, 0.1740)  6 Te 2.68-2.90
Te (0.1221, 0.2500, 0.8971)  2 Cu 2.81, 2 U 3.12
Te (0.2288, 0.7500, 0.5345)  1 Cu 2.68
Te (0.3989, 0.7500, 0.1577)  3 Cu 2.73-2.90
Te (0.6011, 0.2500, 0.8423)  3 Cu 2.73-2.90
Te (0.7712, 0.2500, 0.4655)  1 Cu 2.68
Te (0.8779, 0.7500, 0.1029)  2 Cu 2.81, 2 U 3.12


No. 2
A relaxed U3Cu5Te12 crystal. Source: the Alexandria database, functional PBE.

Summary:
energy relative to the elements, uncorrected = -0.2382 eV per atom
density of states at the Fermi level = 99.30 states/eV per cell
total magnetic moment = 4.33 μB/f.u.

a = 14.3232 Å, b = 14.3232 Å, c = 14.3232 Å
α = 109.47°, β = 109.47°, γ = 109.47°
With the nearest neighbours (Å) after each atom.
Element x y z (fractional)
U (0.1250, 0.2500, 0.3750)  8 Te 3.15-3.17
U (0.1250, 0.3750, 0.7500)  8 Te 3.15-3.17
U (0.2500, 0.3750, 0.1250)  8 Te 3.15-3.17
U (0.2500, 0.8750, 0.6250)  8 Te 3.15-3.17
U (0.3750, 0.1250, 0.2500)  8 Te 3.15-3.17
U (0.3750, 0.7500, 0.1250)  8 Te 3.15-3.17
U (0.6250, 0.2500, 0.8750)  8 Te 3.15-3.17
U (0.6250, 0.8750, 0.7500)  8 Te 3.15-3.17
U (0.7500, 0.1250, 0.3750)  8 Te 3.15-3.17
U (0.7500, 0.6250, 0.8750)  8 Te 3.15-3.17
U (0.8750, 0.6250, 0.2500)  8 Te 3.15-3.17
U (0.8750, 0.7500, 0.6250)  8 Te 3.15-3.17
Cu (0.0000, 0.0000, 0.0000)  6 Te 2.73
Cu (0.0000, 0.0000, 0.5000)  6 Te 2.73
Cu (0.0000, 0.5000, 0.0000)  6 Te 2.73
Cu (0.0000, 0.5000, 0.5000)  6 Te 2.73
Cu (0.1250, 0.7500, 0.8750)  4 Te 2.55
Cu (0.1250, 0.8750, 0.2500)  4 Te 2.55
Cu (0.2500, 0.1250, 0.8750)  4 Te 2.55
Cu (0.2500, 0.6250, 0.3750)  4 Te 2.55
Cu (0.3750, 0.2500, 0.6250)  4 Te 2.55
Cu (0.3750, 0.6250, 0.7500)  4 Te 2.55
Cu (0.5000, 0.0000, 0.0000)  6 Te 2.73
Cu (0.5000, 0.0000, 0.5000)  6 Te 2.73
Cu (0.5000, 0.5000, 0.0000)  6 Te 2.73
Cu (0.5000, 0.5000, 0.5000)  6 Te 2.73
Cu (0.6250, 0.3750, 0.2500)  4 Te 2.55
Cu (0.6250, 0.7500, 0.3750)  4 Te 2.55
Cu (0.7500, 0.3750, 0.6250)  4 Te 2.55
Cu (0.7500, 0.8750, 0.1250)  4 Te 2.55
Cu (0.8750, 0.1250, 0.7500)  4 Te 2.55
Cu (0.8750, 0.2500, 0.1250)  4 Te 2.55
Te (0.0375, 0.2134, 0.1243)  2 Cu 2.55-2.73
Te (0.0375, 0.3241, 0.9132)  2 Cu 2.55-2.73
Te (0.0868, 0.6243, 0.4110)  2 Cu 2.55-2.73
Te (0.0868, 0.9625, 0.6759)  2 Cu 2.55-2.73
Te (0.0890, 0.7134, 0.6759)  2 Cu 2.55-2.73
Te (0.0890, 0.8757, 0.4132)  2 Cu 2.55-2.73
Te (0.1243, 0.0375, 0.2134)  2 Cu 2.55-2.73
Te (0.1243, 0.5868, 0.9110)  2 Cu 2.55-2.73
Te (0.1759, 0.2134, 0.5890)  2 Cu 2.55-2.73
Te (0.1759, 0.4625, 0.5868)  2 Cu 2.55-2.73
Te (0.2134, 0.1243, 0.0375)  2 Cu 2.55-2.73
Te (0.2134, 0.5890, 0.1759)  2 Cu 2.55-2.73
Te (0.2866, 0.3241, 0.9110)  2 Cu 2.55-2.73
Te (0.2866, 0.4625, 0.3757)  2 Cu 2.55-2.73
Te (0.3241, 0.9110, 0.2866)  2 Cu 2.55-2.73
Te (0.3241, 0.9132, 0.0375)  2 Cu 2.55-2.73
Te (0.3757, 0.2866, 0.4625)  2 Cu 2.55-2.73
Te (0.3757, 0.5890, 0.9132)  2 Cu 2.55-2.73
Te (0.4110, 0.0868, 0.6243)  2 Cu 2.55-2.73
Te (0.4110, 0.8241, 0.7866)  2 Cu 2.55-2.73
Te (0.4132, 0.0890, 0.8757)  2 Cu 2.55-2.73
Te (0.4132, 0.8241, 0.5375)  2 Cu 2.55-2.73
Te (0.4625, 0.3757, 0.2866)  2 Cu 2.55-2.73
Te (0.4625, 0.5868, 0.1759)  2 Cu 2.55-2.73
Te (0.5375, 0.4132, 0.8241)  2 Cu 2.55-2.73
Te (0.5375, 0.6243, 0.7134)  2 Cu 2.55-2.73
Te (0.5868, 0.1759, 0.4625)  2 Cu 2.55-2.73
Te (0.5868, 0.9110, 0.1243)  2 Cu 2.55-2.73
Te (0.5890, 0.1759, 0.2134)  2 Cu 2.55-2.73
Te (0.5890, 0.9132, 0.3757)  2 Cu 2.55-2.73
Te (0.6243, 0.4110, 0.0868)  2 Cu 2.55-2.73
Te (0.6243, 0.7134, 0.5375)  2 Cu 2.55-2.73
Te (0.6759, 0.0868, 0.9625)  2 Cu 2.55-2.73
Te (0.6759, 0.0890, 0.7134)  2 Cu 2.55-2.73
Te (0.7134, 0.5375, 0.6243)  2 Cu 2.55-2.73
Te (0.7134, 0.6759, 0.0890)  2 Cu 2.55-2.73
Te (0.7866, 0.4110, 0.8241)  2 Cu 2.55-2.73
Te (0.7866, 0.8757, 0.9625)  2 Cu 2.55-2.73
Te (0.8241, 0.5375, 0.4132)  2 Cu 2.55-2.73
Te (0.8241, 0.7866, 0.4110)  2 Cu 2.55-2.73
Te (0.8757, 0.4132, 0.0890)  2 Cu 2.55-2.73
Te (0.8757, 0.9625, 0.7866)  2 Cu 2.55-2.73
Te (0.9110, 0.1243, 0.5868)  2 Cu 2.55-2.73
Te (0.9110, 0.2866, 0.3241)  2 Cu 2.55-2.73
Te (0.9132, 0.0375, 0.3241)  2 Cu 2.55-2.73
Te (0.9132, 0.3757, 0.5890)  2 Cu 2.55-2.73
Te (0.9625, 0.6759, 0.0868)  2 Cu 2.55-2.73
Te (0.9625, 0.7866, 0.8757)  2 Cu 2.55-2.73


No. 3
A relaxed UCu2Te3 crystal. Source: the Alexandria database, functional PBE.

Summary:
energy relative to the elements, uncorrected = -0.3278 eV per atom
density of states at the Fermi level = 10.79 states/eV per cell
relative energy among the computed polymorphs = 0 meV per atom
total magnetic moment = 2.10 μB/f.u.

a = 7.9042 Å, b = 4.2314 Å, c = 11.1738 Å
α = 90.00°, β = 109.97°, γ = 90.00°
With the nearest neighbours (Å) after each atom.
Element x y z (fractional)
U (0.1592, 0.2500, 0.1863)  5 Te 2.96-3.15, 3 Cu 3.02-3.22
U (0.8408, 0.7500, 0.8137)  5 Te 2.96-3.15, 3 Cu 3.02-3.22
Cu (0.1310, 0.2500, 0.8922)  3 Te 2.55-2.56
Cu (0.4116, 0.7500, 0.4147)  4 Te 2.65-2.67, 2 Cu 2.87
Cu (0.5884, 0.2500, 0.5853)  4 Te 2.65-2.67, 2 Cu 2.87
Cu (0.8690, 0.7500, 0.1078)  3 Te 2.55-2.56
Te (0.0537, 0.7500, 0.3462)  2 Cu 2.56-2.67
Te (0.2663, 0.7500, 0.0159)  2 Cu 2.55
Te (0.4520, 0.7500, 0.6618)  3 Cu 2.65-2.67, 1 U 2.96
Te (0.5480, 0.2500, 0.3382)  3 Cu 2.65-2.67, 1 U 2.96
Te (0.7337, 0.2500, 0.9841)  2 Cu 2.55
Te (0.9463, 0.2500, 0.6538)  2 Cu 2.56-2.67


No. 4
A relaxed U2CuTe6 crystal. Source: the Alexandria database, functional PBE.

Summary:
energy relative to the elements, uncorrected = -0.3951 eV per atom
density of states at the Fermi level = 31.43 states/eV per cell
total magnetic moment = 3.05 μB/f.u.

a = 6.9236 Å, b = 7.8719 Å, c = 11.5027 Å
α = 90.00°, β = 124.73°, γ = 90.00°
With the nearest neighbours (Å) after each atom.
Element x y z (fractional)
U (0.1874, 0.1448, 0.2413)  7 Te 2.99-3.18
U (0.1874, 0.3552, 0.7413)  7 Te 2.99-3.18
U (0.8126, 0.6448, 0.2587)  7 Te 2.99-3.18
U (0.8126, 0.8552, 0.7587)  7 Te 2.99-3.18
Cu (0.0000, 0.0000, 0.5000)  6 Te 2.67-2.94
Cu (0.0000, 0.5000, 0.0000)  6 Te 2.67-2.94
Te (0.1113, 0.1642, 0.9416)  1 Cu 2.94, 3 U 3.04-3.18
Te (0.1113, 0.3358, 0.4416)  1 Cu 2.94, 3 U 3.04-3.18
Te (0.2839, 0.6629, 0.9455)  1 Cu 2.70
Te (0.2839, 0.8371, 0.4455)  1 Cu 2.70
Te (0.4117, 0.0268, 0.7509)  1 Cu 2.67, 1 U 2.99
Te (0.4117, 0.4732, 0.2509)  1 Cu 2.67, 1 U 2.99
Te (0.5883, 0.5268, 0.7491)  1 Cu 2.67, 1 U 2.99
Te (0.5883, 0.9732, 0.2491)  1 Cu 2.67, 1 U 2.99
Te (0.7161, 0.1629, 0.5545)  1 Cu 2.70
Te (0.7161, 0.3371, 0.0545)  1 Cu 2.70
Te (0.8887, 0.6642, 0.5584)  1 Cu 2.94, 3 U 3.04-3.18
Te (0.8887, 0.8358, 0.0584)  1 Cu 2.94, 3 U 3.04-3.18


No. 5
A relaxed UCu2Te3 crystal. Source: the Alexandria database, functional PBE.

Summary:
energy relative to the elements, uncorrected = -0.3029 eV per atom
density of states at the Fermi level = 16.61 states/eV per cell
relative energy among the computed polymorphs = 25 meV per atom
total magnetic moment = 2.14 μB/f.u.

a = 7.0413 Å, b = 4.0963 Å, c = 11.5215 Å
α = 90.00°, β = 100.41°, γ = 90.00°
With the nearest neighbours (Å) after each atom.
Element x y z (fractional)
U (0.1754, 0.2500, 0.3183)  5 Te 2.97-3.20, 1 Cu 3.22
U (0.8246, 0.7500, 0.6817)  5 Te 2.97-3.20, 1 Cu 3.22
Cu (0.0412, 0.7500, 0.0808)  4 Te 2.61-2.67, 2 Cu 2.76
Cu (0.4640, 0.2500, 0.5691)  4 Te 2.62-2.72, 2 Cu 2.70
Cu (0.5360, 0.7500, 0.4309)  4 Te 2.62-2.72, 2 Cu 2.70
Cu (0.9588, 0.2500, 0.9192)  4 Te 2.61-2.67, 2 Cu 2.76
Te (0.1654, 0.7500, 0.8753)  3 Cu 2.61-2.67
Te (0.2188, 0.7500, 0.5347)  3 Cu 2.66-2.72
Te (0.4001, 0.7500, 0.2034)  2 Cu 2.62-2.66
Te (0.5999, 0.2500, 0.7966)  2 Cu 2.62-2.66
Te (0.7812, 0.2500, 0.4653)  3 Cu 2.66-2.72
Te (0.8346, 0.2500, 0.1247)  3 Cu 2.61-2.67


No. 6
A relaxed V2CuTe4 crystal. Source: the Alexandria database, functional PBE.

Summary:
energy relative to the elements, uncorrected = -0.2220 eV per atom
density of states at the Fermi level = 5.69 states/eV per cell
total magnetic moment = 0.01 μB/f.u.

a = 7.5595 Å, b = 7.5595 Å, c = 6.5257 Å
α = 115.19°, β = 115.19°, γ = 27.69°
With the nearest neighbours (Å) after each atom.
Element x y z (fractional)
V (0.2436, 0.2436, 0.1768)  6 Te 2.65-2.87
V (0.7564, 0.7564, 0.8232)  6 Te 2.65-2.87
Cu (0.5000, 0.5000, 0.5000)  6 Te 2.61-2.88
Te (0.1480, 0.1480, 0.4769)  3 V 2.79-2.87, 2 Cu 2.88
Te (0.3950, 0.3950, 0.0572)  1 Cu 2.61, 3 V 2.65-2.66
Te (0.6050, 0.6050, 0.9428)  1 Cu 2.61, 3 V 2.65-2.66
Te (0.8520, 0.8520, 0.5231)  3 V 2.79-2.87, 2 Cu 2.88


Copy entry 6 word for word.
A relaxed V2CuTe4 crystal. Source: the Alexandria database, functional PBE.

Summary:
energy relative to the elements, uncorrected = -0.2220 eV per atom
density of states at the Fermi level = 5.69 states/eV per cell
total magnetic moment = 0.01 μB/f.u.

a = 7.5595 Å, b = 7.5595 Å, c = 6.5257 Å
α = 115.19°, β = 115.19°, γ = 27.69°
With the nearest neighbours (Å) after each atom.
Element x y z (fractional)
V (0.2436, 0.2436, 0.1768)  6 Te 2.65-2.87
V (0.7564, 0.7564, 0.8232)  6 Te 2.65-2.87
Cu (0.5000, 0.5000, 0.5000)  6 Te 2.61-2.88
Te (0.1480, 0.1480, 0.4769)  3 V 2.79-2.87, 2 Cu 2.88
Te (0.3950, 0.3950, 0.0572)  1 Cu 2.61, 3 V 2.65-2.66
Te (0.6050, 0.6050, 0.9428)  1 Cu 2.61, 3 V 2.65-2.66
Te (0.8520, 0.8520, 0.5231)  3 V 2.79-2.87, 2 Cu 2.88


The highest density of states at the Fermi level belongs to which entry? U3Cu5Te12